Er2CuIr | PBE | optimized geometry

Cell: 4.820 4.820 4.820 Å, 119.70 119.70 90.53°
Atoms (fractional coordinates):
Er: 0.250 0.750 0.500
Er: 0.750 0.250 0.500
Cu: 0.000 0.000 0.000
Ir: 0.500 0.500 0.000

Properties
Its electronic total energy is -24.64 eV per cell. As for the calculated volume: 80 Å³ per cell. The calculation puts the magnetization at 0.000 μB/cell. The space group is I4/mmm.


Er7Cu2Ir2 | PBE | optimized geometry

Cell: 6.562 6.562 6.954 Å, 90.00 90.00 106.33°
Atoms (fractional coordinates):
Er: 0.000 0.000 0.000
Er: 0.000 0.500 0.261
Er: 0.000 0.500 0.739
Er: 0.500 0.000 0.261
Er: 0.500 0.000 0.739
Er: 0.500 0.500 0.255
Er: 0.500 0.500 0.745
Cu: 0.190 0.190 0.500
Cu: 0.810 0.810 0.500
Ir: 0.286 0.714 0.000
Ir: 0.714 0.286 0.000

Properties
Its electronic total energy is -61.32 eV per cell. As for the calculated volume: 287 Å³ per cell. The calculation puts the magnetization at 0.000 μB/cell. The space group is Cmmm.


LiErCuIr | PBE | optimized geometry

Cell: 4.576 4.576 4.576 Å, 60.00 60.00 60.00°
Atoms (fractional coordinates):
Li: 0.000 0.000 0.000
Er: 0.500 0.500 0.500
Cu: 0.250 0.250 0.250
Ir: 0.750 0.750 0.750

Properties
Its electronic total energy is -20.72 eV per cell. As for the calculated volume: 68 Å³ per cell. The calculation puts the magnetization at 0.000 μB/cell. The space group is F-43m.


ErLuCuIr | PBE | optimized geometry

Cell: 4.798 4.798 4.798 Å, 60.00 60.00 60.00°
Atoms (fractional coordinates):
Er: 0.000 0.000 0.000
Lu: 0.500 0.500 0.500
Cu: 0.750 0.750 0.750
Ir: 0.250 0.250 0.250

Properties
Its electronic total energy is -24.69 eV per cell. As for the calculated volume: 78 Å³ per cell. The calculation puts the magnetization at 0.000 μB/cell. The space group is F-43m.


Er2CuIrO6 | PBE | optimized geometry

Cell: 5.734 5.734 5.734 Å, 57.19 57.19 57.19°
Atoms (fractional coordinates):
Er: 0.000 0.000 0.000
Er: 0.493 0.493 0.493
Cu: 0.219 0.219 0.219
Ir: 0.702 0.702 0.702
O: 0.064 0.436 0.824
O: 0.337 0.914 0.585
O: 0.436 0.824 0.064
O: 0.585 0.337 0.914
O: 0.824 0.064 0.436
O: 0.914 0.585 0.337

Properties
The value obtained for the uncorrected formation energy is -2.055 eV per atom. As for the calculated volume: 125 Å³ per cell. The calculation puts the magnetization at 1.784 μB/cell. The space group is R3.


ErCuIrO6 | PBE | optimized geometry

Cell: 5.360 5.360 8.555 Å, 90.00 90.00 120.00°
Atoms (fractional coordinates):
Er: 0.333 0.667 0.250
Er: 0.667 0.333 0.750
Cu: 0.000 0.000 0.000
Cu: 0.000 0.000 0.500
Ir: 0.333 0.667 0.750
Ir: 0.667 0.333 0.250
O: 0.039 0.365 0.623
O: 0.039 0.675 0.877
O: 0.325 0.365 0.877
O: 0.325 0.961 0.623
O: 0.365 0.039 0.123
O: 0.365 0.325 0.377
O: 0.635 0.675 0.623
O: 0.635 0.961 0.877
O: 0.675 0.039 0.377
O: 0.675 0.635 0.123
O: 0.961 0.325 0.123
O: 0.961 0.635 0.377

Properties
The value obtained for the uncorrected formation energy is -1.238 eV per atom. As for the calculated volume: 213 Å³ per cell. The calculation puts the magnetization at 0.000 μB/cell. The space group is P-31c.


Er4Cu2IrRu | PBE | optimized geometry

Cell: 8.348 8.348 8.348 Å, 33.56 33.56 33.56°
Atoms (fractional coordinates):
Er: 0.125 0.125 0.125
Er: 0.375 0.375 0.375
Er: 0.625 0.625 0.625
Er: 0.875 0.875 0.875
Cu: 0.248 0.248 0.248
Cu: 0.752 0.752 0.752
Ir: 0.000 0.000 0.000
Ru: 0.500 0.500 0.500

Properties
Its electronic total energy is -48.65 eV per cell. As for the calculated volume: 158 Å³ per cell. The calculation puts the magnetization at 0.000 μB/cell. The space group is R-3m.


ErScCuIr | PBE | optimized geometry

Cell: 4.715 4.715 4.715 Å, 60.00 60.00 60.00°
Atoms (fractional coordinates):
Er: 0.000 0.000 0.000
Sc: 0.500 0.500 0.500
Cu: 0.750 0.750 0.750
Ir: 0.250 0.250 0.250

Properties
Its electronic total energy is -26.42 eV per cell. As for the calculated volume: 74 Å³ per cell. The calculation puts the magnetization at 0.000 μB/cell. The space group is F-43m.


Er2CuSi4Ir3 | PBE | optimized geometry

Cell: 4.096 4.096 9.912 Å, 90.00 90.00 90.00°
Atoms (fractional coordinates):
Er: 0.000 0.500 0.246
Er: 0.500 0.000 0.754
Cu: 0.000 0.000 0.500
Si: 0.000 0.000 0.000
Si: 0.000 0.500 0.632
Si: 0.500 0.000 0.368
Si: 0.500 0.500 0.000
Ir: 0.000 0.500 0.871
Ir: 0.500 0.000 0.129
Ir: 0.500 0.500 0.500

Properties
The value obtained for the uncorrected formation energy is -0.894 eV per atom. As for the calculated volume: 166 Å³ per cell. The calculation puts the magnetization at 0.000 μB/cell. The space group is P-4m2.


Er2CuSi2Ir5 | PBE | optimized geometry

Cell: 9.598 9.598 3.477 Å, 90.00 90.00 90.00°
Atoms (fractional coordinates):
Er: 0.174 0.326 0.000
Er: 0.326 0.826 0.000
Er: 0.674 0.174 0.000
Er: 0.826 0.674 0.000
Cu: 0.000 0.000 0.000
Cu: 0.500 0.500 0.000
Si: 0.127 0.627 0.000
Si: 0.373 0.127 0.000
Si: 0.627 0.873 0.000
Si: 0.873 0.373 0.000
Ir: 0.000 0.500 0.500
Ir: 0.066 0.793 0.500
Ir: 0.207 0.066 0.500
Ir: 0.293 0.566 0.500
Ir: 0.434 0.293 0.500
Ir: 0.500 0.000 0.500
Ir: 0.566 0.707 0.500
Ir: 0.707 0.434 0.500
Ir: 0.793 0.934 0.500
Ir: 0.934 0.207 0.500

Properties
The value obtained for the uncorrected formation energy is -0.741 eV per atom. As for the calculated volume: 320 Å³ per cell. The calculation puts the magnetization at 0.000 μB/cell. The space group is P4/mbm.